## i
This record from Alexandria via LeMat-Bulk describes a relaxed structure of TmAlMo. The functional is PBE.

Computed properties:
Space-group type ... Fddd
Total moment ... 0.00 μB/cell
ρ ... 7.63 Mg/m³

Cell: 10.911 10.111 5.570 Å, 82.76 66.82 30.42°
Fractional coordinates of all 12 atoms:
Tm (0.033, 0.717, 0.033)
Tm (0.283, 0.967, 0.283)
Tm (0.717, 0.033, 0.717)
Tm (0.967, 0.283, 0.967)
Al (0.279, 0.279, 0.471)
Al (0.471, 0.471, 0.279)
Al (0.529, 0.529, 0.721)
Al (0.721, 0.721, 0.529)
Mo (0.002, 0.002, 0.748)
Mo (0.252, 0.252, 0.998)
Mo (0.748, 0.748, 0.002)
Mo (0.998, 0.998, 0.252)


## ii
This record from Alexandria via LeMat-Bulk describes a relaxed structure of TmAlMo. The functional is PBE.

Computed properties:
Space-group type ... Imma
Total moment ... 0.00 μB/cell
ρ ... 8.30 Mg/m³

Cell: 5.348 5.559 7.857 Å, 90.00 90.00 90.00°
Fractional coordinates of all 12 atoms:
Tm (0.000, 0.250, 0.119)
Tm (0.000, 0.750, 0.881)
Tm (0.500, 0.250, 0.381)
Tm (0.500, 0.750, 0.619)
Al (0.000, 0.000, 0.500)
Al (0.000, 0.500, 0.500)
Al (0.500, 0.000, 0.000)
Al (0.500, 0.500, 0.000)
Mo (0.250, 0.250, 0.750)
Mo (0.250, 0.750, 0.250)
Mo (0.750, 0.250, 0.750)
Mo (0.750, 0.750, 0.250)


Verdict on stability: ii comes out on top.


## i
This record from Alexandria via LeMat-Bulk describes a relaxed structure of Al2V2Mo. The functional is PBE.

Computed properties:
Space-group type ... P4/mbm
Total moment ... 0.00 μB/cell
ρ ... 5.68 Mg/m³

Cell: 6.752 6.752 3.229 Å, 90.00 90.00 90.00°
Fractional coordinates of all 10 atoms:
Al (0.130, 0.370, 0.000)
Al (0.370, 0.870, 0.000)
Al (0.630, 0.130, 0.000)
Al (0.870, 0.630, 0.000)
V (0.171, 0.671, 0.500)
V (0.329, 0.171, 0.500)
V (0.671, 0.829, 0.500)
V (0.829, 0.329, 0.500)
Mo (0.000, 0.000, 0.000)
Mo (0.500, 0.500, 0.000)


## ii
This record from Alexandria via LeMat-Bulk describes a relaxed structure of Al2V2Mo. The functional is PBE.

Computed properties:
Space-group type ... I4/mmm
Total moment ... 0.00 μB/cell
ρ ... 5.52 Mg/m³

Cell: 3.494 3.494 12.404 Å, 90.00 90.00 90.00°
Fractional coordinates of all 10 atoms:
Al (0.000, 0.000, 0.096)
Al (0.000, 0.000, 0.904)
Al (0.500, 0.500, 0.404)
Al (0.500, 0.500, 0.596)
V (0.000, 0.500, 0.250)
V (0.000, 0.500, 0.750)
V (0.500, 0.000, 0.250)
V (0.500, 0.000, 0.750)
Mo (0.000, 0.000, 0.500)
Mo (0.500, 0.500, 0.000)


Verdict on stability: i comes out on top.


## i
This record from Alexandria via LeMat-Bulk describes a relaxed structure of AlV3Mo. The functional is PBE.

Computed properties:
Space-group type ... P-1
Total moment ... 0.00 μB/cell
ρ ... 6.40 Mg/m³

Cell: 5.065 7.455 8.011 Å, 82.12 79.87 75.06°
Fractional coordinates of all 20 atoms:
Al (0.024, 0.054, 0.194)
Al (0.426, 0.846, 0.968)
Al (0.574, 0.154, 0.032)
Al (0.976, 0.946, 0.806)
V (0.077, 0.151, 0.517)
V (0.112, 0.249, 0.880)
V (0.159, 0.367, 0.223)
V (0.271, 0.539, 0.927)
V (0.396, 0.743, 0.623)
V (0.491, 0.954, 0.332)
V (0.509, 0.046, 0.668)
V (0.604, 0.257, 0.377)
V (0.729, 0.461, 0.073)
V (0.841, 0.633, 0.777)
V (0.888, 0.751, 0.120)
V (0.923, 0.849, 0.483)
Mo (0.226, 0.446, 0.577)
Mo (0.322, 0.664, 0.273)
Mo (0.678, 0.336, 0.727)
Mo (0.774, 0.554, 0.423)


## ii
This record from Alexandria via LeMat-Bulk describes a relaxed structure of AlV3Mo. The functional is PBE.

Computed properties:
Space-group type ... Pm-3m
Total moment ... 0.40 μB/cell
ρ ... 5.43 Mg/m³

Cell: 4.384 4.384 4.384 Å, 90.00 90.00 90.00°
Fractional coordinates of all 5 atoms:
Al (0.000, 0.000, 0.000)
V (0.000, 0.000, 0.500)
V (0.000, 0.500, 0.000)
V (0.500, 0.000, 0.000)
Mo (0.500, 0.500, 0.500)


## iii
This record from Alexandria via LeMat-Bulk describes a relaxed structure of AlV3Mo. The functional is PBE.

Computed properties:
Space-group type ... Pm-3m
Total moment ... 0.00 μB/cell
ρ ... 4.89 Mg/m³

Cell: 4.540 4.540 4.540 Å, 90.00 90.00 90.00°
Fractional coordinates of all 5 atoms:
Al (0.000, 0.000, 0.000)
V (0.000, 0.500, 0.500)
V (0.500, 0.000, 0.500)
V (0.500, 0.500, 0.000)
Mo (0.500, 0.500, 0.500)


Verdict on stability: i comes out on top.


## i
This record from Alexandria via LeMat-Bulk describes a relaxed structure of Al2V4Mo. The functional is PBE.

Computed properties:
Space-group type ... C2/m
Total moment ... 0.00 μB/cell
ρ ... 5.70 Mg/m³

Cell: 9.342 5.029 5.256 Å, 90.00 123.47 90.00°
Fractional coordinates of all 14 atoms:
Al (0.000, 0.238, 0.000)
Al (0.000, 0.762, 0.000)
Al (0.500, 0.262, 0.000)
Al (0.500, 0.738, 0.000)
V (0.192, 0.500, 0.531)
V (0.237, 0.500, 0.013)
V (0.263, 0.000, 0.987)
V (0.308, 0.000, 0.469)
V (0.692, 0.000, 0.531)
V (0.737, 0.000, 0.013)
V (0.763, 0.500, 0.987)
V (0.808, 0.500, 0.469)
Mo (0.000, 0.000, 0.500)
Mo (0.500, 0.500, 0.500)


## ii
This record from Alexandria via LeMat-Bulk describes a relaxed structure of Al2V4Mo. The functional is PBE.

Computed properties:
Space-group type ... I4/mmm
Total moment ... 7.47 μB/cell
ρ ... 4.35 Mg/m³

Cell: 4.486 4.486 13.426 Å, 90.00 90.00 90.00°
Fractional coordinates of all 14 atoms:
Al (0.000, 0.000, 0.122)
Al (0.000, 0.000, 0.878)
Al (0.500, 0.500, 0.378)
Al (0.500, 0.500, 0.622)
V (0.000, 0.000, 0.319)
V (0.000, 0.000, 0.681)
V (0.000, 0.500, 0.000)
V (0.000, 0.500, 0.500)
V (0.500, 0.000, 0.000)
V (0.500, 0.000, 0.500)
V (0.500, 0.500, 0.181)
V (0.500, 0.500, 0.819)
Mo (0.000, 0.000, 0.500)
Mo (0.500, 0.500, 0.000)


Verdict on stability: i comes out on top.


## i
This record from Alexandria via LeMat-Bulk describes a relaxed structure of AlVMo. The functional is PBE.

Computed properties:
Space-group type ... P3m1
Total moment ... 0.00 μB/cell
ρ ... 6.51 Mg/m³

Cell: 4.363 4.363 2.691 Å, 90.00 90.00 120.00°
Fractional coordinates of all 3 atoms:
Al (0.000, 0.000, 0.000)
V (0.333, 0.667, 0.636)
Mo (0.667, 0.333, 0.385)


## ii
This record from Alexandria via LeMat-Bulk describes a relaxed structure of AlVMo. The functional is PBE.

Computed properties:
Space-group type ... P4/nmm
Total moment ... 0.00 μB/cell
ρ ... 6.49 Mg/m³

Cell: 3.526 3.526 7.154 Å, 90.00 90.00 90.00°
Fractional coordinates of all 6 atoms:
Al (0.250, 0.250, 0.232)
Al (0.750, 0.750, 0.768)
V (0.250, 0.750, 0.500)
V (0.750, 0.250, 0.500)
Mo (0.250, 0.250, 0.864)
Mo (0.750, 0.750, 0.136)


## iii
This record from Alexandria via LeMat-Bulk describes a relaxed structure of AlVMo. The functional is PBE.

Computed properties:
Space-group type ... I4mm
Total moment ... 0.00 μB/cell
ρ ... 6.45 Mg/m³

Cell: 3.219 3.219 8.636 Å, 90.00 90.00 90.00°
Fractional coordinates of all 6 atoms:
Al (0.000, 0.000, 0.000)
Al (0.500, 0.500, 0.500)
V (0.000, 0.000, 0.677)
V (0.500, 0.500, 0.177)
Mo (0.000, 0.000, 0.322)
Mo (0.500, 0.500, 0.822)


Verdict on stability: iii comes out on top.


## i
This record from Alexandria via LeMat-Bulk describes a relaxed structure of Al2VMo. The functional is PBE.

Computed properties:
Space-group type ... I-42d
Total moment ... 0.00 μB/cell
ρ ... 5.27 Mg/m³

Cell: 6.882 6.882 5.341 Å, 90.00 90.00 90.00°
Fractional coordinates of all 16 atoms:
Al (0.244, 0.250, 0.125)
Al (0.250, 0.744, 0.375)
Al (0.250, 0.756, 0.875)
Al (0.256, 0.250, 0.625)
Al (0.744, 0.750, 0.625)
Al (0.750, 0.244, 0.875)
Al (0.750, 0.256, 0.375)
Al (0.756, 0.750, 0.125)
V (0.000, 0.000, 0.000)
V (0.000, 0.500, 0.250)
V (0.500, 0.000, 0.750)
V (0.500, 0.500, 0.500)
Mo (0.000, 0.000, 0.500)
Mo (0.000, 0.500, 0.750)
Mo (0.500, 0.000, 0.250)
Mo (0.500, 0.500, 0.000)


## ii
This record from Alexandria via LeMat-Bulk describes a relaxed structure of Al2VMo. The functional is PBE.

Computed properties:
Space-group type ... P4/mmm
Total moment ... 0.00 μB/cell
ρ ... 5.63 Mg/m³

Cell: 3.801 3.801 4.096 Å, 90.00 90.00 90.00°
Fractional coordinates of all 4 atoms:
Al (0.000, 0.500, 0.000)
Al (0.500, 0.000, 0.000)
V (0.000, 0.000, 0.500)
Mo (0.500, 0.500, 0.500)


## iii
This record from Alexandria via LeMat-Bulk describes a relaxed structure of Al2VMo. The functional is PBE.

Computed properties:
Space-group type ... Fm-3m
Total moment ... 3.03 μB/cell
ρ ... 5.53 Mg/m³

Cell: 6.227 6.227 6.227 Å, 90.00 90.00 90.00°
Fractional coordinates of all 16 atoms:
Al (0.250, 0.250, 0.250)
Al (0.250, 0.250, 0.750)
Al (0.250, 0.750, 0.250)
Al (0.250, 0.750, 0.750)
Al (0.750, 0.250, 0.250)
Al (0.750, 0.250, 0.750)
Al (0.750, 0.750, 0.250)
Al (0.750, 0.750, 0.750)
V (0.000, 0.000, 0.000)
V (0.000, 0.500, 0.500)
V (0.500, 0.000, 0.500)
V (0.500, 0.500, 0.000)
Mo (0.000, 0.000, 0.500)
Mo (0.000, 0.500, 0.000)
Mo (0.500, 0.000, 0.000)
Mo (0.500, 0.500, 0.500)


Verdict on stability: ii comes out on top.


## i
This record from Alexandria via LeMat-Bulk describes a relaxed structure of AlV4Mo. The functional is PBE.

Computed properties:
Space-group type ... F-43m
Total moment ... 0.00 μB/cell
ρ ... 6.35 Mg/m³

Cell: 4.944 4.944 4.944 Å, 60.00 60.00 60.00°
Fractional coordinates of all 6 atoms:
Al (0.000, 0.000, 0.000)
V (0.128, 0.624, 0.624)
V (0.624, 0.128, 0.624)
V (0.624, 0.624, 0.128)
V (0.624, 0.624, 0.624)
Mo (0.250, 0.250, 0.250)


## ii
This record from Alexandria via LeMat-Bulk describes a relaxed structure of AlV4Mo. The functional is PBE.

Computed properties:
Space-group type ... R-3m
Total moment ... 0.00 μB/cell
ρ ... 5.34 Mg/m³

Cell: 7.240 7.240 7.240 Å, 33.25 33.25 33.25°
Fractional coordinates of all 6 atoms:
Al (0.000, 0.000, 0.000)
V (0.125, 0.125, 0.125)
V (0.380, 0.380, 0.380)
V (0.620, 0.620, 0.620)
V (0.875, 0.875, 0.875)
Mo (0.500, 0.500, 0.500)


## iii
This record from Alexandria via LeMat-Bulk describes a relaxed structure of AlV4Mo. The functional is PBE.

Computed properties:
Space-group type ... C2/c
Total moment ... 0.00 μB/cell
ρ ... 6.33 Mg/m³

Cell: 4.607 4.607 8.772 Å, 90.19 90.19 66.96°
Fractional coordinates of all 12 atoms:
Al (0.001, 0.999, 0.750)
Al (0.999, 0.001, 0.250)
V (0.167, 0.657, 0.000)
V (0.343, 0.344, 0.250)
V (0.343, 0.833, 0.500)
V (0.344, 0.343, 0.750)
V (0.656, 0.657, 0.250)
V (0.657, 0.167, 0.500)
V (0.657, 0.656, 0.750)
V (0.833, 0.343, 0.000)
Mo (0.000, 0.500, 0.500)
Mo (0.500, 0.000, 0.000)


Verdict on stability: i comes out on top.


## i
This record from Alexandria via LeMat-Bulk describes a relaxed structure of AlV3Mo2. The functional is PBE.

Computed properties:
Space-group type ... Cmcm
Total moment ... 0.00 μB/cell
ρ ... 6.82 Mg/m³

Cell: 7.297 7.297 4.991 Å, 90.00 90.00 137.07°
Fractional coordinates of all 12 atoms:
Al (0.160, 0.840, 0.750)
Al (0.840, 0.160, 0.250)
V (0.068, 0.413, 0.750)
V (0.332, 0.668, 0.250)
V (0.413, 0.068, 0.250)
V (0.587, 0.932, 0.750)
V (0.668, 0.332, 0.750)
V (0.932, 0.587, 0.250)
Mo (0.251, 0.251, 0.000)
Mo (0.251, 0.251, 0.500)
Mo (0.749, 0.749, 0.000)
Mo (0.749, 0.749, 0.500)


## ii
This record from Alexandria via LeMat-Bulk describes a relaxed structure of AlV3Mo2. The functional is PBE.

Computed properties:
Space-group type ... P4/mmm
Total moment ... 0.00 μB/cell
ρ ... 7.06 Mg/m³

Cell: 3.131 3.131 8.917 Å, 90.00 90.00 90.00°
Fractional coordinates of all 6 atoms:
Al (0.000, 0.000, 0.000)
V (0.500, 0.500, 0.172)
V (0.500, 0.500, 0.500)
V (0.500, 0.500, 0.828)
Mo (0.000, 0.000, 0.326)
Mo (0.000, 0.000, 0.674)


Verdict on stability: ii comes out on top.


## i
This record from Alexandria via LeMat-Bulk describes a relaxed structure of AlV4Mo2. The functional is PBE.

Computed properties:
Space-group type ... Cmmm
Total moment ... 0.00 μB/cell
ρ ... 6.81 Mg/m³

Cell: 3.084 21.918 3.052 Å, 90.00 90.00 90.00°
Fractional coordinates of all 14 atoms:
Al (0.000, 0.000, 0.000)
Al (0.500, 0.500, 0.000)
V (0.000, 0.134, 0.000)
V (0.000, 0.430, 0.500)
V (0.000, 0.570, 0.500)
V (0.000, 0.866, 0.000)
V (0.500, 0.070, 0.500)
V (0.500, 0.366, 0.000)
V (0.500, 0.634, 0.000)
V (0.500, 0.930, 0.500)
Mo (0.000, 0.297, 0.500)
Mo (0.000, 0.703, 0.500)
Mo (0.500, 0.203, 0.500)
Mo (0.500, 0.797, 0.500)


## ii
This record from Alexandria via LeMat-Bulk describes a relaxed structure of AlV4Mo2. The functional is PBE.

Computed properties:
Space-group type ... I4/mmm
Total moment ... 0.00 μB/cell
ρ ... 5.88 Mg/m³

Cell: 4.396 4.396 12.350 Å, 90.00 90.00 90.00°
Fractional coordinates of all 14 atoms:
Al (0.000, 0.000, 0.000)
Al (0.500, 0.500, 0.500)
V (0.000, 0.000, 0.195)
V (0.000, 0.000, 0.805)
V (0.000, 0.500, 0.000)
V (0.000, 0.500, 0.500)
V (0.500, 0.000, 0.000)
V (0.500, 0.000, 0.500)
V (0.500, 0.500, 0.305)
V (0.500, 0.500, 0.695)
Mo (0.000, 0.000, 0.378)
Mo (0.000, 0.000, 0.622)
Mo (0.500, 0.500, 0.122)
Mo (0.500, 0.500, 0.878)


Verdict on stability: i comes out on top.


## i
This record from Alexandria via LeMat-Bulk describes a relaxed structure of Al2MoW. The functional is PBE.

Computed properties:
Space-group type ... Cm
Total moment ... 0.00 μB/cell
ρ ... 8.97 Mg/m³

Cell: 9.278 2.764 4.873 Å, 90.00 98.70 90.00°
Fractional coordinates of all 8 atoms:
Al (0.000, 0.000, 0.000)
Al (0.246, 0.500, 0.253)
Al (0.500, 0.500, 0.000)
Al (0.746, 0.000, 0.253)
Mo (0.251, 0.000, 0.763)
Mo (0.751, 0.500, 0.763)
W (0.494, 0.000, 0.490)
W (0.994, 0.500, 0.490)


## ii
This record from Alexandria via LeMat-Bulk describes a relaxed structure of Al2MoW. The functional is PBE.

Computed properties:
Space-group type ... Cmmm
Total moment ... 0.00 μB/cell
ρ ... 9.02 Mg/m³

Cell: 3.325 4.338 8.525 Å, 90.00 90.00 90.00°
Fractional coordinates of all 8 atoms:
Al (0.000, 0.000, 0.249)
Al (0.000, 0.000, 0.751)
Al (0.500, 0.500, 0.249)
Al (0.500, 0.500, 0.751)
Mo (0.000, 0.500, 0.000)
Mo (0.500, 0.000, 0.000)
W (0.000, 0.500, 0.500)
W (0.500, 0.000, 0.500)


Verdict on stability: ii comes out on top.


## i
This record from Alexandria via LeMat-Bulk describes a relaxed structure of Al2MoW. The functional is PBE.

Computed properties:
Space-group type ... Cmm2
Total moment ... 0.00 μB/cell
ρ ... 8.74 Mg/m³

Cell: 3.243 4.438 8.816 Å, 90.00 90.00 90.00°
Fractional coordinates of all 8 atoms:
Al (0.000, 0.000, 0.000)
Al (0.000, 0.500, 0.265)
Al (0.500, 0.000, 0.265)
Al (0.500, 0.500, 0.000)
Mo (0.000, 0.500, 0.758)
Mo (0.500, 0.000, 0.758)
W (0.000, 0.000, 0.508)
W (0.500, 0.500, 0.508)


## ii
This record from Alexandria via LeMat-Bulk describes a relaxed structure of Al2MoW. The functional is PBE.

Computed properties:
Space-group type ... R3m
Total moment ... 0.00 μB/cell
ρ ... 8.69 Mg/m³

Cell: 2.829 2.829 27.598 Å, 90.00 90.00 120.00°
Fractional coordinates of all 12 atoms:
Al (0.000, 0.000, 0.000)
Al (0.000, 0.000, 0.250)
Al (0.333, 0.667, 0.667)
Al (0.333, 0.667, 0.916)
Al (0.667, 0.333, 0.333)
Al (0.667, 0.333, 0.583)
Mo (0.000, 0.000, 0.502)
Mo (0.333, 0.667, 0.168)
Mo (0.667, 0.333, 0.835)
W (0.000, 0.000, 0.748)
W (0.333, 0.667, 0.415)
W (0.667, 0.333, 0.081)


Verdict on stability: i comes out on top.